1.
# Ce3PtAu2, optimized geometry, DFT GGA-PBE
# Total magnetic moment (μB per formula unit): 3.04
# Formation enthalpy at 0 K (eV/atom): -0.685
data_Ce3PtAu2
_symmetry_space_group_name_H-M 'I m m m'
_symmetry_Int_Tables_number 71
_symmetry_space_group_name_Hall '-I 2 2'
_cell_length_a 4.040
_cell_length_b 6.018
_cell_length_c 13.455
_cell_angle_alpha 90.00
_cell_angle_beta 90.00
_cell_angle_gamma 90.00
loop_
_atom_site_label
_atom_site_fract_x
_atom_site_fract_y
_atom_site_fract_z
Ce1 0.000 0.000 0.000
Ce2 0.000 0.000 0.347
Pt1 0.000 0.500 0.000
Au1 0.000 0.500 0.327

***

2.
# K2InOs, optimized geometry, DFT GGA-PBE
# Total magnetic moment (μB per formula unit): 0.78
# Formation enthalpy at 0 K (eV/atom): 0.976
data_K2InOs
_symmetry_space_group_name_H-M 'I 4/m m m'
_symmetry_Int_Tables_number 139
_symmetry_space_group_name_Hall '-I 4 2'
_cell_length_a 4.187
_cell_length_b 4.187
_cell_length_c 11.340
_cell_angle_alpha 90.00
_cell_angle_beta 90.00
_cell_angle_gamma 90.00
loop_
_atom_site_label
_atom_site_fract_x
_atom_site_fract_y
_atom_site_fract_z
K1 0.000 0.500 0.250
In1 0.000 0.000 0.000
Os1 0.000 0.000 0.500

***

3.
# Cu2AgTeSe4, optimized geometry, DFT GGA-PBE
# Formation energy without anion corrections (eV/atom): -0.05
# Total magnetic moment (μB per formula unit): 0.00
data_Cu2AgTeSe4
_symmetry_space_group_name_H-M 'F m m 2'
_symmetry_Int_Tables_number 42
_symmetry_space_group_name_Hall 'F 2 -2'
_cell_length_a 8.312
_cell_length_b 8.313
_cell_length_c 11.790
_cell_angle_alpha 90.00
_cell_angle_beta 90.00
_cell_angle_gamma 90.00
loop_
_atom_site_label
_atom_site_fract_x
_atom_site_fract_y
_atom_site_fract_z
Cu1 0.250 0.250 0.000
Ag1 0.000 0.000 0.250
Te1 0.000 0.000 0.750
Se1 0.000 0.245 0.104
Se2 0.245 0.000 0.396

***

Number 1: mass density 10.2 g/cm³, uncorrected energy -69.02 eV for the cell shown. Number 2: mass density 6.4 g/cm³, uncorrected energy -24.52 eV for the cell shown. Number 3: mass density 5.5 g/cm³, uncorrected energy -114.00 eV for the cell shown.